No. 1
Entry from Alexandria: a relaxed structure of AlMoPt (PBE).

For the total energy, the calculation gives -20.10 eV for the cell shown. Its space-group type is F-43m, No. 216. The value obtained for the volume is 54.9 Å³ per cell. The total magnetic moment is 0.6 μB/f.u.

a b c (Å): 4.266 4.266 4.266
angles (deg): 60.00 60.00 60.00
Fractional coordinates of all 3 atoms:
Al: 0.000 0.000 0.000
Mo: 0.750 0.750 0.750
Pt: 0.500 0.500 0.500

=====

No. 2
Entry from Alexandria: a relaxed structure of Al2MoPt (PBE).

For the total energy, the calculation gives -26.44 eV for the cell shown. Its space-group type is P4/mmm, No. 123. The value obtained for the volume is 60.1 Å³ per cell. The total magnetic moment is 0.0 μB/f.u.

a b c (Å): 2.789 2.789 7.727
angles (deg): 90.00 90.00 90.00
Fractional coordinates of all 4 atoms:
Al: 0.000 0.000 0.239
Al: 0.000 0.000 0.761
Mo: 0.500 0.500 0.500
Pt: 0.500 0.500 0.000